Entry i
SnBi3P | PBE | optimized geometry

Output
Its magnetic moment is 0.00 μB/f.u. As for the crystal system: cubic. The calculated density comes out at 6.81 Mg/m³. Its symmetry is Pm-3m.

Structure (POSCAR):
```
SnBi3P
1.0
5.7439 0.0000 0.0000
0.0000 5.7439 0.0000
0.0000 0.0000 5.7439
Bi Sn P
3 1 1
Direct
0.0000 0.0000 0.5000
0.0000 0.5000 0.0000
0.5000 0.0000 0.0000
0.0000 0.0000 0.0000
0.5000 0.5000 0.5000
```

Entry ii
SnBi3P | PBE | optimized geometry

Output
Its magnetic moment is 0.00 μB/f.u. As for the crystal system: cubic. The calculated density comes out at 7.98 Mg/m³. Its symmetry is Pm-3m.

Structure (POSCAR):
```
SnBi3P
1.0
5.4470 0.0000 0.0000
0.0000 5.4470 0.0000
0.0000 0.0000 5.4470
P Bi Sn
1 3 1
Direct
0.0000 0.0000 0.0000
0.0000 0.0000 0.5000
0.0000 0.5000 0.0000
0.5000 0.0000 0.0000
0.5000 0.5000 0.5000
```

Energy ordering: entry ii at the bottom, the next structure 0.708 eV/atom above.

Entry i
Sn2BiP2 | PBE | optimized geometry

Output
Its magnetic moment is 0.00 μB/f.u. As for the crystal system: tetragonal. The calculated density comes out at 7.00 Mg/m³. Its symmetry is I4/mmm.

Structure (POSCAR):
```
Sn2BiP2
1.0
-0.0517 -4.9351 1.9988
0.3899 -1.9971 -4.9207
4.4124 -3.3873 -1.1567
P Sn Bi
2 2 1
Direct
0.6316 0.6316 0.7368
0.3684 0.3684 0.2632
0.2500 0.7500 0.5000
0.7500 0.2500 0.5000
0.0000 0.0000 0.0000
```

Entry ii
Sn2BiP2 | PBE | optimized geometry

Output
Its magnetic moment is 0.00 μB/f.u. As for the crystal system: tetragonal. The calculated density comes out at 6.94 Mg/m³. Its symmetry is I4/mmm.

Structure (POSCAR):
```
Sn2BiP2
1.0
-1.4903 -0.8393 -2.9489
-1.5824 -2.5978 1.5391
-9.6032 4.5530 1.5870
Sn P Bi
2 2 1
Direct
0.3758 0.3758 0.2485
0.6242 0.6242 0.7515
0.7500 0.2500 0.5000
0.2500 0.7500 0.5000
0.0000 0.0000 0.0000
```

Energy ordering: entry i at the bottom, the next structure 0.026 eV/atom above.

Entry i
Sr4Bi2P | PBE | optimized geometry

Output
Its magnetic moment is 0.67 μB/f.u. As for the crystal system: monoclinic. The calculated density comes out at 5.07 Mg/m³. Its symmetry is P2_1/m.

Structure (POSCAR):
```
Sr4Bi2P
1.0
-1.9201 -1.0918 6.8734
5.5002 -4.8860 0.7604
6.9884 7.7671 -0.6409
Bi P Sr
4 2 8
Direct
0.7156 0.7500 0.5448
0.2790 0.2500 0.9386
0.2844 0.2500 0.4552
0.7210 0.7500 0.0614
0.1294 0.7500 0.1576
0.8706 0.2500 0.8424
0.5301 0.4947 0.7546
0.0672 0.7500 0.8676
0.1030 0.7500 0.4265
0.8970 0.2500 0.5735
0.5301 0.0053 0.7546
0.9328 0.2500 0.1324
0.4699 0.5053 0.2454
0.4699 0.9947 0.2454
```

Entry ii
Sr4Bi2P | PBE | optimized geometry

Output
Its magnetic moment is 0.00 μB/f.u. As for the crystal system: tetragonal. The calculated density comes out at 4.77 Mg/m³. Its symmetry is I4/mmm.

Structure (POSCAR):
```
Sr4Bi2P
1.0
5.6540 0.0000 0.0000
0.0000 5.6540 0.0000
2.8270 2.8270 8.7122
Bi Sr P
2 4 1
Direct
0.3669 0.3669 0.2662
0.6331 0.6331 0.7338
0.1728 0.1728 0.6545
0.0000 0.5000 0.0000
0.8272 0.8272 0.3455
0.5000 0.0000 0.0000
0.0000 0.0000 0.0000
```

Energy ordering: entry ii at the bottom, the next structure 0.081 eV/atom above.

Entry i
SrBi3P | PBE | optimized geometry

Output
Its magnetic moment is 0.00 μB/f.u. As for the crystal system: cubic. The calculated density comes out at 7.30 Mg/m³. Its symmetry is Pm-3m.

Structure (POSCAR):
```
SrBi3P
1.0
-4.6793 -2.8635 -0.7444
-0.6288 -0.3986 5.4859
-2.8911 4.7213 0.0117
Bi Sr P
3 1 1
Direct
0.5000 0.0000 0.0000
0.0000 0.0000 0.5000
0.0000 0.5000 0.0000
0.5000 0.5000 0.5000
0.0000 0.0000 0.0000
```

Entry ii
SrBi3P | PBE | optimized geometry

Output
Its magnetic moment is 2.21 μB/f.u. As for the crystal system: cubic. The calculated density comes out at 5.30 Mg/m³. Its symmetry is Pm-3m.

Structure (POSCAR):
```
SrBi3P
1.0
-0.5063 -4.5340 4.1365
5.2897 -2.4271 -2.0130
3.1124 3.3876 4.0941
Bi P Sr
3 1 1
Direct
0.0000 0.0000 0.5000
0.5000 0.0000 0.0000
0.0000 0.5000 0.0000
0.5000 0.5000 0.5000
0.0000 0.0000 0.0000
```

Energy ordering: entry i at the bottom, the next structure 1.216 eV/atom above.

Entry i
Sr3BiP | PBE | optimized geometry

Output
Its magnetic moment is 0.00 μB/f.u. As for the crystal system: monoclinic. The calculated density comes out at 4.65 Mg/m³. Its symmetry is P2_1/c.

Structure (POSCAR):
```
Sr3BiP
1.0
-1.6890 2.5171 -8.6440
-8.2431 -1.6922 1.1178
-1.6893 9.1183 1.3467
P Sr Bi
4 12 4
Direct
0.0020 0.2815 0.4394
0.4980 0.7815 0.5606
0.9980 0.7185 0.5606
0.5020 0.2185 0.4394
0.4794 0.2976 0.1327
0.9794 0.2024 0.1327
0.9256 0.3872 0.7535
0.7859 0.9930 0.5497
0.7141 0.4930 0.4503
0.4256 0.1128 0.7535
0.0206 0.7976 0.8673
0.5206 0.7024 0.8673
0.2859 0.5070 0.5497
0.2141 0.0070 0.4503
0.0744 0.6128 0.2465
0.5744 0.8872 0.2465
0.7346 0.0662 0.9115
0.2654 0.9338 0.0885
0.2346 0.4338 0.9115
0.7654 0.5662 0.0885
```

Entry ii
Sr3BiP | PBE | optimized geometry

Output
Its magnetic moment is 0.00 μB/f.u. As for the crystal system: cubic. The calculated density comes out at 4.33 Mg/m³. Its symmetry is Pm-3m.

Structure (POSCAR):
```
Sr3BiP
1.0
-0.9216 1.9378 -5.3625
-2.9169 -4.8277 -1.2433
-4.8993 2.5098 1.7489
Sr P Bi
3 1 1
Direct
0.0000 0.0000 0.5000
0.5000 0.0000 0.0000
0.0000 0.5000 0.0000
0.0000 0.0000 0.0000
0.5000 0.5000 0.5000
```

Entry iii
Sr3BiP | PBE | optimized geometry

Output
Its magnetic moment is 0.00 μB/f.u. As for the crystal system: trigonal. The calculated density comes out at 3.95 Mg/m³. Its symmetry is R3m.

Structure (POSCAR):
```
Sr3BiP
1.0
8.0196 -0.0002 0.0001
4.0098 6.9446 0.0014
4.0098 2.3127 7.5979
Sr Bi P
6 2 2
Direct
0.1431 0.7912 0.8401
0.6645 0.2701 0.8401
0.1431 0.2700 0.8401
0.4900 0.0708 0.4124
0.9442 0.0710 0.4124
0.9445 0.6166 0.4122
0.4276 0.5541 0.5084
0.6693 0.7956 0.7833
0.0673 0.1940 0.5890
0.8894 0.0161 0.1228
```

Energy ordering: entry i at the bottom, the next structure 0.024 eV/atom above.

Entry i
Sr2BiP2 | PBE | optimized geometry

Output
Its magnetic moment is 0.00 μB/f.u. As for the crystal system: tetragonal. The calculated density comes out at 5.01 Mg/m³. Its symmetry is I4/mmm.

Structure (POSCAR):
```
Sr2BiP2
1.0
6.0416 0.0000 0.0000
0.0000 6.0416 0.0000
3.0208 3.0208 4.0501
P Bi Sr
2 1 2
Direct
0.6390 0.6390 0.7219
0.3610 0.3610 0.2781
0.0000 0.0000 0.0000
0.2500 0.7500 0.5000
0.7500 0.2500 0.5000
```

Entry ii
Sr2BiP2 | PBE | optimized geometry

Output
Its magnetic moment is 0.00 μB/f.u. As for the crystal system: tetragonal. The calculated density comes out at 5.45 Mg/m³. Its symmetry is P4/mbm.

Structure (POSCAR):
```
Sr2BiP2
1.0
-3.7373 4.5014 -5.5691
2.4546 -5.0960 -5.7663
-3.4730 -2.2512 0.5111
Sr P Bi
4 4 2
Direct
0.3531 0.1469 0.5000
0.6469 0.8531 0.5000
0.8531 0.3531 0.5000
0.1469 0.6469 0.5000
0.8383 0.6617 0.0000
0.3383 0.8383 0.0000
0.6617 0.1617 0.0000
0.1617 0.3383 0.0000
0.5000 0.5000 0.0000
0.0000 0.0000 0.0000
```

Energy ordering: entry ii at the bottom, the next structure 0.190 eV/atom above.